A plane-wave DFT calculation with PBE was carried out for a relaxed structure of TmCd3Ag3.

## Properties
Magnetization = 0.000 μB per cell
E_form = -0.09 eV per atom
Space-group type = No. 65
DOS at the Fermi energy = 0.486 states/eV/atom
VASP energy = -32.8 eV for the cell shown

a b c (Å): 7.001 7.001 6.216
angles (deg): 90.00 90.00 93.09
Fractional coordinates of all 14 atoms:
Cd 0.245 0.755 0.000
Cd 0.236 0.236 0.500
Cd 0.339 0.661 0.500
Cd 0.764 0.764 0.500
Cd 0.755 0.245 0.000
Cd 0.661 0.339 0.500
Tm 0.701 0.701 0.000
Tm 0.299 0.299 0.000
Ag 0.500 0.000 0.261
Ag 0.000 0.500 0.261
Ag 0.000 0.000 0.235
Ag 0.000 0.000 0.765
Ag 0.000 0.500 0.739
Ag 0.500 0.000 0.739